Compound: Cu2HgPb
Source: Alexandria
Functional: PBE-GGA
Structure: relaxed

Cell: 3.751 4.168 5.310 Å, 90.00 109.49 90.00°
Space group Pm (No. 6)
One atom of each set of equivalent atoms:
Cu1 0.000 0.000 0.000 [1 per cell]
Cu2 0.139 0.500 0.281 [1 per cell]
Hg1 0.713 0.000 0.429 [1 per cell]
Pb1 0.425 0.500 0.835 [1 per cell]

Properties
The formation enthalpy at 0 K comes out at 193 meV/atom. As for the crystal system: monoclinic.

---

Compound: CuHg2Pb
Source: Alexandria
Functional: PBE-GGA
Structure: relaxed

Cell: 3.6208 3.6208 26.0741 Å, 90.00 90.00 120.00°
Space group R3m (No. 160, hexagonal axes)
One atom of each set of equivalent atoms:
Cu1 0.0000 0.0000 0.0000 [3 per cell]
Hg1 0.0000 0.0000 0.2665 [3 per cell]
Hg2 0.0000 0.0000 0.5107 [3 per cell]
Pb1 0.0000 0.0000 0.7403 [3 per cell]

Properties
The formation enthalpy at 0 K comes out at 168 meV/atom. As for the crystal system: trigonal.